The following is a DFT calculation (GGA-PBE) of a geometry-optimized CaNb2NiAg structure.

Cell: 4.6681 4.6681 5.0372 Å, 90.00 90.00 90.00°
Space group P4/mmm (No. 123)
One atom of each set of equivalent atoms:
Ca: 0.0000 0.0000 0.0000 [1 per cell]
Nb: 0.0000 0.5000 0.5000 [2 per cell]
Ni: 0.5000 0.5000 0.5000 [1 per cell]
Ag: 0.5000 0.5000 0.0000 [1 per cell]

Values from the calculation:
* crystal system: tetragonal
* total moment: 0.3 μB per formula unit
* DFT formation energy: 0.672 eV per atom
* density of states at the Fermi level: 7.4 states/eV/f.u.
* volume: 109.8 Å³/f.u.